K8SnO6: optimized geometry, PBE.

Geometry as POSCAR:
```
K8SnO6
1.0
7.740 0.000 0.000
0.000 7.404 0.000
0.000 0.000 11.508
K Sn O
16 2 12
Direct
0.000 0.091 0.074
0.000 0.155 0.601
0.197 0.545 0.779
0.213 0.651 0.500
0.220 0.978 0.816
0.280 0.022 0.316
0.287 0.349 0.000
0.303 0.455 0.279
0.500 0.845 0.101
0.500 0.909 0.574
0.697 0.455 0.279
0.713 0.349 0.000
0.720 0.022 0.316
0.780 0.978 0.816
0.787 0.651 0.500
0.803 0.545 0.779
0.000 0.668 0.100
0.500 0.332 0.600
0.000 0.244 0.860
0.000 0.413 0.158
0.000 0.788 0.658
0.000 0.831 0.239
0.211 0.714 0.002
0.289 0.286 0.502
0.500 0.169 0.739
0.500 0.212 0.158
0.500 0.587 0.658
0.500 0.756 0.360
0.711 0.286 0.502
0.789 0.714 0.002
```

Summary:
Total magnetic moment (μB/f.u.): 0.17
Raw total energy (eV per atom): -4.084



Tl2InCuBr: optimized geometry, PBE.

Geometry as POSCAR:
```
Tl2InCuBr
1.0
5.357 0.000 0.000
0.000 5.357 0.000
0.000 0.000 5.151
Tl In Cu Br
2 1 1 1
Direct
0.000 0.500 0.000
0.500 0.000 0.000
0.000 0.000 0.500
0.000 0.000 0.000
0.500 0.500 0.500
```

Summary:
Total magnetic moment (μB/f.u.): 0.00
Raw total energy (eV per atom): -2.800



Tb2Er5Tm2: optimized geometry, PBE.

Geometry as POSCAR:
```
Tb2Er5Tm2
1.0
-7.364 5.783 3.320
7.364 -5.783 3.320
7.364 5.783 -3.320
Tb Er Tm
4 10 4
Direct
0.000 0.000 0.000
0.000 0.500 0.500
0.094 0.858 0.736
0.122 0.358 0.264
0.128 0.031 0.382
0.128 0.246 0.597
0.139 0.646 0.992
0.448 0.154 0.188
0.448 0.760 0.794
0.649 0.531 0.403
0.649 0.746 0.618
0.654 0.146 0.008
0.966 0.260 0.812
0.966 0.654 0.206
0.548 0.683 0.120
0.548 0.928 0.365
0.564 0.183 0.635
0.564 0.428 0.880
```

Summary:
ΔH_f (0 K) (eV/atom): 0.233
Total magnetic moment (μB/f.u.): 0.00
Raw total energy (eV per atom): -4.325



Nd2YZnS5: optimized geometry, PBE.

Geometry as POSCAR:
```
Nd2YZnS5
1.0
1.938 -8.478 0.000
1.938 8.478 0.000
0.000 0.000 12.009
Nd Y Zn S
4 2 2 10
Direct
0.115 0.885 0.500
0.132 0.868 0.137
0.868 0.132 0.637
0.885 0.115 0.000
0.196 0.804 0.833
0.804 0.196 0.333
0.455 0.545 0.259
0.545 0.455 0.759
0.037 0.963 0.864
0.291 0.709 0.492
0.317 0.683 0.171
0.355 0.645 0.821
0.493 0.507 0.585
0.507 0.493 0.085
0.645 0.355 0.321
0.683 0.317 0.671
0.709 0.291 0.992
0.963 0.037 0.364
```

Summary:
Total magnetic moment (μB/f.u.): 0.00
Raw total energy (eV per atom): -5.962



AlTc2P2: optimized geometry, PBE.

Geometry as POSCAR:
```
AlTc2P2
1.0
3.500 0.000 0.000
0.000 3.500 0.000
0.000 0.000 12.061
Al Tc P
2 4 4
Direct
0.000 0.000 0.000
0.500 0.500 0.500
0.000 0.000 0.381
0.000 0.000 0.619
0.500 0.500 0.119
0.500 0.500 0.881
0.000 0.500 0.250
0.000 0.500 0.750
0.500 0.000 0.250
0.500 0.000 0.750
```

Summary:
ΔH_f (0 K) (eV/atom): -0.267
Total magnetic moment (μB/f.u.): 0.00
Raw total energy (eV per atom): -7.326



Cd4InPb: optimized geometry, PBE.

Geometry as POSCAR:
```
Cd4InPb
1.0
9.105 0.000 0.000
0.000 4.661 0.000
0.000 0.000 7.392
Cd In Pb
8 2 2
Direct
0.000 0.000 0.000
0.012 0.500 0.304
0.250 0.500 0.990
0.488 0.500 0.304
0.500 0.000 0.000
0.512 0.500 0.696
0.750 0.500 0.010
0.988 0.500 0.696
0.250 0.000 0.271
0.750 0.000 0.729
0.250 0.000 0.685
0.750 0.000 0.315
```

Summary:
ΔH_f (0 K) (eV/atom): 0.060
Total magnetic moment (μB/f.u.): 0.00
Raw total energy (eV per atom): -1.625



Sr2YHg6: optimized geometry, PBE.

Geometry as POSCAR:
```
Sr2YHg6
1.0
6.940 0.000 0.000
-3.470 6.011 0.000
0.000 0.000 6.337
Sr Y Hg
2 1 6
Direct
0.333 0.667 0.343
0.667 0.333 0.657
0.000 0.000 0.500
0.183 0.367 0.826
0.183 0.817 0.826
0.367 0.183 0.174
0.633 0.817 0.826
0.817 0.183 0.174
0.817 0.633 0.174
```

Summary:
ΔH_f (0 K) (eV/atom): -0.387
Total magnetic moment (μB/f.u.): 0.00
Raw total energy (eV per atom): -1.680



YPdAu2: optimized geometry, PBE.

Geometry as POSCAR:
```
YPdAu2
1.0
6.824 0.000 0.000
0.000 6.824 0.000
0.000 0.000 6.824
Y Pd Au
4 4 8
Direct
0.000 0.000 0.000
0.000 0.500 0.500
0.500 0.000 0.500
0.500 0.500 0.000
0.000 0.000 0.500
0.000 0.500 0.000
0.500 0.000 0.000
0.500 0.500 0.500
0.250 0.250 0.250
0.250 0.250 0.750
0.250 0.750 0.250
0.250 0.750 0.750
0.750 0.250 0.250
0.750 0.250 0.750
0.750 0.750 0.250
0.750 0.750 0.750
```

Summary:
ΔH_f (0 K) (eV/atom): -0.679
Total magnetic moment (μB/f.u.): 0.00
Raw total energy (eV per atom): -5.232



What is the total magnetic moment in the fourth record? 0.00 μB/f.u.



Which value of total magnetic moment does entry 2 give? 0.00 μB/f.u.



The lowest raw total energy belongs to which entry? AlTc2P2



The highest raw total energy belongs to which entry? Cd4InPb